# Th2Pb5

Th2Pb5 after structural relaxation (PBE-GGA, Alexandria via LeMat-Bulk).

Computed properties:
Magnetization: 0.00 μB per atom
Total DFT energy (no corrections): -4.951 eV per atom
N(E_F): 7.345 states/eV/cell

abc: 3.436 11.400 11.400
angles: 90.00 90.00 90.00
Sites, in units of the cell vectors:
Th1 0.500 0.683 0.183
Th2 0.500 0.183 0.317
Th3 0.500 0.817 0.683
Th4 0.500 0.317 0.817
Pb1 0.000 0.500 0.000
Pb2 0.000 0.214 0.060
Pb3 0.000 0.940 0.214
Pb4 0.000 0.440 0.286
Pb5 0.000 0.714 0.440
Pb6 0.000 0.000 0.500
Pb7 0.000 0.286 0.560
Pb8 0.000 0.560 0.714
Pb9 0.000 0.060 0.786
Pb10 0.000 0.786 0.940

# ThTlPb

ThTlPb after structural relaxation (PBE-GGA, Alexandria via LeMat-Bulk).

Computed properties:
Magnetization: 0.00 μB per atom
Total DFT energy (no corrections): -4.675 eV per atom
N(E_F): 4.402 states/eV/cell

abc: 4.566 4.674 8.741
angles: 105.51 90.00 90.00
Sites, in units of the cell vectors:
Th1 0.250 0.093 0.187
Th2 0.750 0.907 0.813
Tl1 0.250 0.749 0.498
Tl2 0.750 0.251 0.502
Pb1 0.250 0.427 0.855
Pb2 0.750 0.573 0.145

# ThTlPb

ThTlPb after structural relaxation (PBE-GGA, Alexandria via LeMat-Bulk).

Computed properties:
Magnetization: 0.00 μB per atom
Total DFT energy (no corrections): -4.406 eV per atom
N(E_F): 4.115 states/eV/cell

abc: 5.303 5.298 8.693
angles: 72.47 72.24 59.97
Sites, in units of the cell vectors:
Th1 0.428 0.430 0.713
Th2 0.572 0.570 0.287
Tl1 0.702 0.706 0.889
Tl2 0.298 0.294 0.111
Pb1 0.851 0.851 0.446
Pb2 0.149 0.149 0.554

# Th6Tl5Pb

Th6Tl5Pb after structural relaxation (PBE-GGA, Alexandria via LeMat-Bulk).

Computed properties:
Magnetization: 0.00 μB per atom
Total DFT energy (no corrections): -5.175 eV per atom
N(E_F): 13.105 states/eV/cell

abc: 5.031 9.250 7.976
angles: 90.00 71.62 90.00
Sites, in units of the cell vectors:
Pb1 0.000 0.000 0.000
Tl1 0.666 0.500 0.667
Tl2 0.331 0.000 0.338
Tl3 0.000 0.500 0.000
Tl4 0.669 0.000 0.662
Tl5 0.334 0.500 0.333
Th1 0.833 0.749 0.334
Th2 0.833 0.251 0.334
Th3 0.500 0.251 0.000
Th4 0.500 0.749 0.000
Th5 0.167 0.749 0.666
Th6 0.167 0.251 0.666

# ThTl2Pb

ThTl2Pb after structural relaxation (PBE-GGA, Alexandria via LeMat-Bulk).

Computed properties:
Magnetization: 0.00 μB per atom
Total DFT energy (no corrections): -4.148 eV per atom
N(E_F): 3.170 states/eV/cell

abc: 4.926 4.825 4.825
angles: 90.00 90.00 90.00
Sites, in units of the cell vectors:
Pb1 0.500 0.500 0.500
Tl1 0.000 0.000 0.500
Tl2 0.000 0.500 0.000
Th1 0.500 0.000 0.000

# Th3TlPb

Th3TlPb after structural relaxation (PBE-GGA, Alexandria via LeMat-Bulk).

Computed properties:
Magnetization: 0.00 μB per atom
Total DFT energy (no corrections): -5.751 eV per atom
N(E_F): 22.355 states/eV/cell

abc: 9.021 9.021 11.851
angles: 80.53 80.53 40.17
Sites, in units of the cell vectors:
Th1 0.872 0.924 0.776
Th2 0.076 0.128 0.724
Th3 0.128 0.076 0.224
Th4 0.924 0.872 0.276
Th5 0.650 0.748 0.736
Th6 0.252 0.350 0.764
Th7 0.350 0.252 0.264
Th8 0.748 0.650 0.236
Th9 0.305 0.795 0.991
Th10 0.205 0.695 0.509
Th11 0.795 0.305 0.491
Th12 0.695 0.205 0.009
Tl1 0.910 0.395 0.976
Tl2 0.605 0.090 0.524
Tl3 0.090 0.605 0.024
Tl4 0.395 0.910 0.476
Pb1 0.000 0.500 0.500
Pb2 0.500 0.000 0.000
Pb3 0.521 0.479 0.250
Pb4 0.479 0.521 0.750

- Which value of total DFT energy (no corrections) does entry 4 give?
  -5.175 eV per atom

- Which formula does entry 5 have?
  ThTl2Pb

- Among the records above, which one has the lowest N(E_F)?
  ThTl2Pb